Computed, not measured: a relaxed structure of Rb4SmPa3S12 at the PBE level of DFT.

Values from the calculation:
Its volume is 604.6 Å³/cell. The space-group type is Im-3m (229). The formation energy without anion corrections comes out at -29.401 eV per formula unit.

Cell lengths 9.2264, 9.2264, 9.2264 Å; angles 109.47, 109.47, 109.47 degrees
With the nearest neighbours (Å) after each atom.
Element x y z (fractional)
Rb: 0.0000 0.0000 0.5000  12 S 3.77
Rb: 0.0000 0.5000 0.0000  12 S 3.77
Rb: 0.5000 0.0000 0.0000  12 S 3.77
Rb: 0.5000 0.5000 0.5000  12 S 3.77
Sm: 0.0000 0.0000 0.0000  6 S 2.76
Pa: 0.0000 0.5000 0.5000  6 S 2.57-2.66
Pa: 0.5000 0.0000 0.5000  6 S 2.57-2.66
Pa: 0.5000 0.5000 0.0000  6 S 2.57-2.66
S: 0.0000 0.2590 0.2590  1 Pa 2.57, 1 Sm 2.76
S: 0.0000 0.7410 0.7410  1 Pa 2.57, 1 Sm 2.76
S: 0.2500 0.5000 0.7500  2 Pa 2.66
S: 0.2500 0.7500 0.5000  2 Pa 2.66
S: 0.2590 0.0000 0.2590  1 Pa 2.57, 1 Sm 2.76
S: 0.2590 0.2590 0.0000  1 Pa 2.57, 1 Sm 2.76
S: 0.5000 0.2500 0.7500  2 Pa 2.66
S: 0.5000 0.7500 0.2500  2 Pa 2.66
S: 0.7410 0.0000 0.7410  1 Pa 2.57, 1 Sm 2.76
S: 0.7410 0.7410 0.0000  1 Pa 2.57, 1 Sm 2.76
S: 0.7500 0.2500 0.5000  2 Pa 2.66
S: 0.7500 0.5000 0.2500  2 Pa 2.66